Entry 1:
The following is a GGA-PBE calculation of NiHgPt2 after structural relaxation, from Alexandria via LeMat-Bulk.

```
8
Lattice="-0.8044 0.6407 -3.7027 3.4915 -1.2723 -0.9787 -2.0462 -9.0252 -3.1114" Properties=species:S:1:pos:R:3 pbc="T T T"
Hg 0.0000 0.0000 0.0000
Hg -0.7535 -4.3501 -4.5774
Ni 1.3435 -0.3158 -2.3407
Ni 1.3944 -5.3066 -3.2154
Pt -0.5645 -2.0255 -3.1528
Pt 1.5567 -2.9607 -1.9139
Pt 0.7585 -7.3003 -6.4135
Pt -0.4689 -7.0268 -4.1053
```

Total DFT energy (no corrections) ... -4.231 eV/atom
Space-group type ... No. 122

***

Entry 2:
The following is a GGA-PBE calculation of Tl2CoP after structural relaxation, from Alexandria via LeMat-Bulk.

```
4
Lattice="3.1786 0.0456 0.0000 -0.6433 3.1131 0.0000 0.0000 0.0000 8.0764" Properties=species:S:1:pos:R:3 pbc="T T T"
P 1.2676 1.5794 6.0573
Tl 0.0000 0.0000 0.1983
Tl 0.0000 0.0000 3.8399
Co 1.2676 1.5794 2.0191
```

Total DFT energy (no corrections) ... -3.589 eV/atom
Space-group type ... No. 65

***

Entry 3:
The following is a GGA-PBE calculation of CaHf2ReSi after structural relaxation, from Alexandria via LeMat-Bulk.

```
5
Lattice="-4.6667 -1.2716 -0.6725 1.1173 -4.7495 1.2271 -0.9450 0.9889 4.6879" Properties=species:S:1:pos:R:3 pbc="T T T"
Re -2.2472 -2.5161 2.6213
Hf -0.4725 0.4944 2.3440
Hf -2.3334 -0.6358 -0.3362
Ca 0.5587 -2.3747 0.6135
Si 0.0000 0.0000 0.0000
```

Total DFT energy (no corrections) ... -6.928 eV/atom
Space-group type ... No. 123

***

Entry 4:
The following is a GGA-PBE calculation of Pu4IrS2Cl after structural relaxation, from Alexandria via LeMat-Bulk.

```
8
Lattice="3.9615 0.0000 0.0000 0.0000 7.0150 -0.2043 0.0000 2.4099 6.5584" Properties=species:S:1:pos:R:3 pbc="T T T"
Pu 1.9808 5.8829 1.5478
Pu 0.0001 7.0704 4.6800
Pu 1.9808 3.5420 4.8062
Pu 3.9615 2.3546 1.6740
S 1.9808 1.2049 3.2792
S 0.0000 2.4099 6.5584
Cl 1.9808 3.5075 -0.1022
Ir 0.0000 4.7124 3.1770
```

Total DFT energy (no corrections) ... -10.777 eV/atom
Space-group type ... No. 10